[1]
NaIn2Ge: relaxed, GGA-PBE.

CIF file:
```
data_NaIn2Ge
_chemical_formula_sum 'Na1 In2 Ge1'
_space_group_name_H-M_alt 'P 1'
_space_group_IT_number 1
_space_group_name_Hall 'P 1'
_cell_length_a 6.859
_cell_length_b 6.859
_cell_length_c 6.859
_cell_angle_alpha 38.45
_cell_angle_beta 38.45
_cell_angle_gamma 38.45
loop_
_atom_site_label
_atom_site_type_symbol
_atom_site_fract_x
_atom_site_fract_y
_atom_site_fract_z
Na1 Na 0.000 0.000 0.000
In1 In 0.229 0.229 0.229
In2 In 0.432 0.432 0.432
Ge1 Ge 0.828 0.828 0.828
```

Computed properties:
SG = No. 160



[2]
PaCdHg2: relaxed, GGA-PBE.

CIF file:
```
data_PaCdHg2
_chemical_formula_sum 'Pa1 Cd1 Hg2'
_space_group_name_H-M_alt 'P 1'
_space_group_IT_number 1
_space_group_name_Hall 'P 1'
_cell_length_a 11.902
_cell_length_b 11.902
_cell_length_c 11.902
_cell_angle_alpha 15.30
_cell_angle_beta 15.30
_cell_angle_gamma 15.30
loop_
_atom_site_label
_atom_site_type_symbol
_atom_site_fract_x
_atom_site_fract_y
_atom_site_fract_z
Pa1 Pa 0.000 0.000 0.000
Cd1 Cd 0.500 0.500 0.500
Hg1 Hg 0.090 0.090 0.090
Hg2 Hg 0.910 0.910 0.910
```

Computed properties:
E above lowest polymorph = 0.2107 eV/atom
SG = No. 166



[3]
NaCa2Pu: relaxed, GGA-PBE.

CIF file:
```
data_NaCa2Pu
_chemical_formula_sum 'Na1 Ca2 Pu1'
_space_group_name_H-M_alt 'P 1'
_space_group_IT_number 1
_space_group_name_Hall 'P 1'
_cell_length_a 12.620
_cell_length_b 12.620
_cell_length_c 12.620
_cell_angle_alpha 16.78
_cell_angle_beta 16.78
_cell_angle_gamma 16.78
loop_
_atom_site_label
_atom_site_type_symbol
_atom_site_fract_x
_atom_site_fract_y
_atom_site_fract_z
Na1 Na 0.000 0.000 0.000
Ca1 Ca 0.247 0.247 0.247
Ca2 Ca 0.753 0.753 0.753
Pu1 Pu 0.500 0.500 0.500
```

Computed properties:
SG = No. 166



What did we get for E? Answer: -11.37, -10.10, -18.81 eV for the cell shown, in the order shown.
What did we get for DOS(E_F)? Answer: 0.252, 1.127, 2.631 states/eV per atom, in the order shown.